1.
A relaxed Sr3Cd2Pt crystal, computed with PBE.

## Properties
As for the space-group type: Pnma, No. 62. As for the total magnetization: 0.00 μB/f.u. Its energy of formation is -0.50 eV per atom. For the total energy, the calculation gives -2.655 eV per atom.

Unit cell a=13.2267 b=4.6319 c=13.1195 alpha=90.00 beta=90.00 gamma=90.00
Positions (direct):
Sr 0.0492 0.2500 0.1294
Sr 0.1133 0.7500 0.5467
Sr 0.2341 0.2500 0.7920
Sr 0.2659 0.7500 0.2920
Sr 0.3867 0.2500 0.0467
Sr 0.4508 0.7500 0.6294
Sr 0.5492 0.2500 0.3706
Sr 0.6133 0.7500 0.9533
Sr 0.7341 0.2500 0.7080
Sr 0.7659 0.7500 0.2080
Sr 0.8867 0.2500 0.4533
Sr 0.9508 0.7500 0.8706
Cd 0.0092 0.7500 0.3088
Cd 0.2000 0.7500 0.9938
Cd 0.3000 0.2500 0.4938
Cd 0.4908 0.2500 0.8088
Cd 0.5092 0.7500 0.1912
Cd 0.7000 0.7500 0.5062
Cd 0.8000 0.2500 0.0062
Cd 0.9908 0.2500 0.6912
Pt 0.1203 0.2500 0.3716
Pt 0.3797 0.7500 0.8716
Pt 0.6203 0.2500 0.1284
Pt 0.8797 0.7500 0.6284


2.
A relaxed Sr2CdPt crystal, computed with PBE.

## Properties
As for the space-group type: I-42d, No. 122. As for the total magnetization: 0.00 μB/f.u. Its energy of formation is -0.28 eV per atom. For the total energy, the calculation gives -2.860 eV per atom.

Unit cell a=7.0636 b=7.0636 c=7.0636 alpha=105.67 beta=105.67 gamma=117.38
Positions (direct):
Sr 0.0807 0.6250 0.9557
Sr 0.3750 0.3307 0.4557
Sr 0.6693 0.1250 0.0443
Sr 0.8750 0.9193 0.5443
Cd 0.2500 0.7500 0.5000
Cd 0.5000 0.5000 0.0000
Pt 0.0000 0.0000 0.0000
Pt 0.7500 0.2500 0.5000


Question: The lowest energy of formation belongs to which entry?
Answer: Sr3Cd2Pt


Question: What is the energy of formation in the second record?
Answer: -0.28 eV per atom


Question: The lowest total energy belongs to which entry?
Answer: Sr2CdPt


Question: Look up the energy of formation of the first one.
Answer: -0.50 eV per atom